# 1
9
Lattice="7.206 1.063 -0.053 4.484 5.772 -0.100 -0.140 0.087 7.995" Properties=species:S:1:pos:R:3 comment="CsNaTlCl6, relaxed, DFT PBE" density_kg_m3=3231 energy_ev_per_atom=-2.85 vol_a3_per_cell=294.5 e_form_raw_ev_per_atom=-1.11 n_ef_per_ev_cell=1.51 pbc="T T T"
Cl 5.700 3.699 1.711
Cl 5.709 3.825 5.308
Cl 3.445 1.066 6.057
Cl 9.256 4.470 5.924
Cl 9.205 5.767 2.480
Cl 1.415 1.186 3.062
Cs 7.375 1.669 7.572
Tl 7.336 4.555 3.583
Na 3.820 2.599 3.613

***

# 2
16
Lattice="9.217 -0.007 -0.009 -0.013 9.217 -0.009 -4.590 -4.593 6.518" Properties=species:S:1:pos:R:3 comment="CsNaTl2Cl4, relaxed, DFT PBE" density_kg_m3=4243 energy_ev_per_atom=-3.18 vol_a3_per_cell=552.9 e_form_raw_ev_per_atom=-1.40 n_ef_per_ev_cell=0.00 pbc="T T T"
Cl 2.292 2.402 6.450
Cl 2.514 -2.608 6.425
Cl 4.520 4.633 3.299
Cl 2.322 2.215 0.049
Cl 0.094 -0.015 3.200
Cl 2.100 7.225 0.074
Cl 0.313 4.421 3.333
Cl 4.301 0.197 3.166
Tl -2.295 -2.297 3.259
Tl 2.314 -2.300 3.254
Tl 4.602 4.605 -0.009
Tl 4.609 -0.003 -0.005
Na 4.627 -4.600 6.508
Na 2.307 2.309 3.250
Cs -0.007 4.609 -0.005
Cs 6.916 2.305 3.245